# 1
Below is a relaxed structure of Ta3Ru5, with properties calculated at the PBE level.

Cell lengths 7.6593, 7.6593, 5.3147 Å; angles 90.00, 90.00, 120.00 degrees
Space group P6_3/mcm (No. 193)
Asymmetric unit:
Ta  0.0000  0.3753  0.2500 [6 per cell]
Ru  0.0000  0.2944  0.7500 [6 per cell]
Ru  0.3333  0.6667  0.0000 [4 per cell]

Properties
For the energy above the most stable polymorph in this dataset, the calculation gives 2.57 eV per formula unit. As for the formation energy from the elements: -10.0 meV per atom. As for the total energy: -10.252 eV per atom. The density of states at the Fermi level comes out at 8.57 states/eV/cell.

# 2
Below is a relaxed structure of Ta3Ru, with properties calculated at the PBE level.

Cell lengths 4.822, 4.822, 4.822 Å; angles 90.00, 90.00, 90.00 degrees
Space group Pm-3m (No. 221)
Asymmetric unit:
Ta  0.000  0.000  0.500 [3 per cell]
Ru  0.000  0.000  0.000 [1 per cell]

Properties
As for the formation energy from the elements: 1838.1 meV per atom. As for the total energy: -9.370 eV per atom. The density of states at the Fermi level comes out at 2.64 states/eV/cell.

# 3
Below is a relaxed structure of Ta3Ru, with properties calculated at the PBE level.

Cell lengths 3.218, 3.218, 6.594 Å; angles 90.00, 90.00, 90.00 degrees
Space group P4/mmm (No. 123)
Asymmetric unit:
Ta  0.000  0.000  0.000 [1 per cell]
Ta  0.500  0.500  0.257 [2 per cell]
Ru  0.000  0.000  0.500 [1 per cell]

Properties
As for the formation energy from the elements: -278.8 meV per atom. As for the total energy: -11.487 eV per atom. The density of states at the Fermi level comes out at 1.84 states/eV/cell.

# 4
Below is a relaxed structure of Ta3Ru2, with properties calculated at the PBE level.

Cell lengths 3.227, 3.227, 15.802 Å; angles 90.00, 90.00, 90.00 degrees
Space group P4/mmm (No. 123)
Asymmetric unit:
Ta  0.000  0.000  0.000 [1 per cell]
Ta  0.000  0.000  0.196 [2 per cell]
Ta  0.000  0.000  0.396 [2 per cell]
Ta  0.500  0.500  0.500 [1 per cell]
Ru  0.500  0.500  0.098 [2 per cell]
Ru  0.500  0.500  0.291 [2 per cell]

Properties
For the energy above the most stable polymorph in this dataset, the calculation gives 0.00 eV per formula unit. As for the formation energy from the elements: -283.7 meV per atom. As for the total energy: -11.106 eV per atom. The density of states at the Fermi level comes out at 10.09 states/eV/cell.

# 5
Below is a relaxed structure of TaRu5, with properties calculated at the PBE level.

Cell lengths 5.0153, 5.0153, 4.3688 Å; angles 90.00, 90.00, 120.00 degrees
Space group P6/mmm (No. 191)
Asymmetric unit:
Ta  0.0000  0.0000  0.0000 [1 per cell]
Ru  0.0000  0.5000  0.5000 [3 per cell]
Ru  0.3333  0.6667  0.0000 [2 per cell]

Properties
As for the formation energy from the elements: 427.9 meV per atom. As for the total energy: -9.277 eV per atom. The density of states at the Fermi level comes out at 11.10 states/eV/cell.

# 6
Below is a relaxed structure of Ta3Ru, with properties calculated at the PBE level.

Cell lengths 4.852, 5.384, 5.307 Å; angles 90.00, 90.00, 90.00 degrees
Space group Pmmn (No. 59, origin choice 2)
Asymmetric unit:
Ta  0.250  0.003  0.139 [4 per cell]
Ta  0.250  0.750  0.619 [2 per cell]
Ru  0.250  0.250  0.655 [2 per cell]

Properties
As for the formation energy from the elements: 12.5 meV per atom. As for the total energy: -11.196 eV per atom. The density of states at the Fermi level comes out at 5.97 states/eV/cell.

# 7
Below is a relaxed structure of TaRu5, with properties calculated at the PBE level.

Cell lengths 4.370, 2.792, 14.341 Å; angles 90.00, 90.00, 90.00 degrees
Space group Amm2 (No. 38)
Asymmetric unit:
Ta  0.000  0.000  0.000 [2 per cell]
Ru  0.000  0.000  0.331 [2 per cell]
Ru  0.000  0.000  0.672 [2 per cell]
Ru  0.500  0.000  0.220 [2 per cell]
Ru  0.500  0.000  0.556 [2 per cell]
Ru  0.500  0.000  0.885 [2 per cell]

Properties
As for the formation energy from the elements: -61.4 meV per atom. As for the total energy: -9.767 eV per atom. The density of states at the Fermi level comes out at 13.66 states/eV/cell.

# 8
Below is a relaxed structure of TaRu7, with properties calculated at the PBE level.

Cell lengths 7.728, 7.728, 7.728 Å; angles 90.00, 90.00, 90.00 degrees
Space group Fm-3m (No. 225)
Asymmetric unit:
Ta  0.000  0.000  0.000 [4 per cell]
Ru  0.000  0.000  0.500 [4 per cell]
Ru  0.000  0.250  0.250 [24 per cell]

Properties
As for the formation energy from the elements: -22.0 meV per atom. As for the total energy: -9.620 eV per atom. The density of states at the Fermi level comes out at 43.68 states/eV/cell.

# 9
Below is a relaxed structure of TaRu3, with properties calculated at the PBE level.

Cell lengths 5.600, 9.727, 4.373 Å; angles 90.00, 90.00, 90.00 degrees
Space group Cmcm (No. 63)
Asymmetric unit:
Ta  0.000  0.167  0.250 [4 per cell]
Ru  0.000  0.333  0.750 [4 per cell]
Ru  0.249  0.083  0.750 [8 per cell]

Properties
As for the formation energy from the elements: -188.5 meV per atom. As for the total energy: -10.109 eV per atom. The density of states at the Fermi level comes out at 21.78 states/eV/cell.

# 10
Below is a relaxed structure of Ta6Ru5, with properties calculated at the PBE level.

Cell lengths 4.420, 6.301, 13.286 Å; angles 90.00, 90.00, 90.00 degrees
Space group Immm (No. 71)
Asymmetric unit:
Ta  0.000  0.232  0.000 [4 per cell]
Ta  0.000  0.258  0.342 [8 per cell]
Ru  0.000  0.000  0.177 [4 per cell]
Ru  0.000  0.000  0.500 [2 per cell]
Ru  0.000  0.500  0.165 [4 per cell]

Properties
As for the formation energy from the elements: -213.6 meV per atom. As for the total energy: -10.895 eV per atom. The density of states at the Fermi level comes out at 18.73 states/eV/cell.

# 11
Below is a relaxed structure of Ta8Ru, with properties calculated at the PBE level.

Cell lengths 9.879, 9.879, 3.259 Å; angles 90.00, 90.00, 90.00 degrees
Space group I4/mmm (No. 139)
Asymmetric unit:
Ta  0.000  0.333  0.000 [8 per cell]
Ta  0.163  0.163  0.500 [8 per cell]
Ru  0.000  0.000  0.000 [2 per cell]

Properties
As for the formation energy from the elements: -135.8 meV per atom. As for the total energy: -11.702 eV per atom. The density of states at the Fermi level comes out at 19.53 states/eV/cell.

# 12
Below is a relaxed structure of Ta3Ru, with properties calculated at the PBE level.

Cell lengths 6.463, 6.463, 6.463 Å; angles 90.00, 90.00, 90.00 degrees
Space group Fm-3m (No. 225)
Asymmetric unit:
Ta  0.000  0.000  0.000 [4 per cell]
Ta  0.250  0.250  0.250 [8 per cell]
Ru  0.000  0.000  0.500 [4 per cell]

Properties
As for the formation energy from the elements: -217.7 meV per atom. As for the total energy: -11.426 eV per atom. The density of states at the Fermi level comes out at 9.19 states/eV/cell.

# 13
Below is a relaxed structure of TaRu3, with properties calculated at the PBE level.

Cell lengths 2.788, 2.788, 7.715 Å; angles 90.00, 90.00, 90.00 degrees
Space group P4/mmm (No. 123)
Asymmetric unit:
Ta  0.000  0.000  0.000 [1 per cell]
Ru  0.000  0.000  0.500 [1 per cell]
Ru  0.500  0.500  0.265 [2 per cell]

Properties
As for the formation energy from the elements: -5.3 meV per atom. As for the total energy: -9.925 eV per atom. The density of states at the Fermi level comes out at 3.86 states/eV/cell.

# 14
Below is a relaxed structure of TaRu5, with properties calculated at the PBE level.

Cell lengths 7.153, 7.153, 7.153 Å; angles 90.00, 90.00, 90.00 degrees
Space group F-43m (No. 216)
Asymmetric unit:
Ta  0.000  0.000  0.000 [4 per cell]
Ru  0.124  0.124  0.376 [16 per cell]
Ru  0.250  0.250  0.750 [4 per cell]

Properties
As for the formation energy from the elements: 254.4 meV per atom. As for the total energy: -9.451 eV per atom. The density of states at the Fermi level comes out at 36.02 states/eV/cell.

# 15
Below is a relaxed structure of Ta3Ru, with properties calculated at the PBE level.

Cell lengths 2.9169, 2.9169, 9.4328 Å; angles 90.00, 90.00, 120.00 degrees
Space group P-6m2 (No. 187)
Asymmetric unit:
Ta  0.0000  0.0000  0.0000 [1 per cell]
Ta  0.3333  0.6667  0.2692 [2 per cell]
Ru  0.0000  0.0000  0.5000 [1 per cell]

Properties
As for the formation energy from the elements: 122.1 meV per atom. As for the total energy: -11.086 eV per atom. The density of states at the Fermi level comes out at 5.26 states/eV/cell.

# 16
Below is a relaxed structure of TaRu3, with properties calculated at the PBE level.

Cell lengths 3.885, 3.885, 15.792 Å; angles 90.00, 90.00, 90.00 degrees
Space group I4/mmm (No. 139)
Asymmetric unit:
Ta  0.000  0.000  0.120 [4 per cell]
Ru  0.000  0.000  0.371 [4 per cell]
Ru  0.000  0.500  0.000 [4 per cell]
Ru  0.000  0.500  0.250 [4 per cell]

Properties
As for the formation energy from the elements: -181.9 meV per atom. As for the total energy: -10.102 eV per atom. The density of states at the Fermi level comes out at 19.35 states/eV/cell.

# 17
Below is a relaxed structure of Ta4Ru5, with properties calculated at the PBE level.

Cell lengths 8.442, 8.442, 3.997 Å; angles 90.00, 90.00, 90.00 degrees
Space group I4/mmm (No. 139)
Asymmetric unit:
Ta  0.000  0.312  0.000 [8 per cell]
Ru  0.000  0.000  0.000 [2 per cell]
Ru  0.165  0.165  0.500 [8 per cell]

Properties
For the energy above the most stable polymorph in this dataset, the calculation gives 0.00 eV per formula unit. As for the formation energy from the elements: -264.7 meV per atom. As for the total energy: -10.686 eV per atom. The density of states at the Fermi level comes out at 19.27 states/eV/cell.

# 18
Below is a relaxed structure of TaRu5, with properties calculated at the PBE level.

Cell lengths 4.7943, 4.7943, 4.3892 Å; angles 90.00, 90.00, 120.00 degrees
Space group P-62m (No. 189)
Asymmetric unit:
Ta  0.0000  0.0000  0.0000 [1 per cell]
Ru  0.0000  0.6549  0.5000 [3 per cell]
Ru  0.3333  0.6667  0.0000 [2 per cell]

Properties
As for the formation energy from the elements: -99.3 meV per atom. As for the total energy: -9.805 eV per atom. The density of states at the Fermi level comes out at 7.96 states/eV/cell.

# 19
Below is a relaxed structure of Ta3Ru2, with properties calculated at the PBE level.

Cell lengths 3.0317, 3.0317, 31.8268 Å; angles 90.00, 90.00, 120.00 degrees
Space group R-3m (No. 166, hexagonal axes)
Asymmetric unit:
Ta  0.0000  0.0000  0.0000 [3 per cell]
Ta  0.0000  0.0000  0.2029 [6 per cell]
Ru  0.0000  0.0000  0.3984 [6 per cell]

Properties
For the energy above the most stable polymorph in this dataset, the calculation gives 1.31 eV per formula unit. As for the formation energy from the elements: -22.0 meV per atom. As for the total energy: -10.844 eV per atom. The density of states at the Fermi level comes out at 9.69 states/eV/cell.

# 20
Below is a relaxed structure of Ta7Ru, with properties calculated at the PBE level.

Cell lengths 8.334, 8.334, 8.334 Å; angles 90.00, 90.00, 90.00 degrees
Space group Fm-3m (No. 225)
Asymmetric unit:
Ta  0.000  0.000  0.000 [4 per cell]
Ta  0.000  0.250  0.250 [24 per cell]
Ru  0.000  0.000  0.500 [4 per cell]

Properties
As for the formation energy from the elements: 197.4 meV per atom. As for the total energy: -11.333 eV per atom. The density of states at the Fermi level comes out at 44.30 states/eV/cell.